(1)
Here is an optimized crystal structure of TaAgPb2 from Alexandria. Energies are from PBE.

abc: 3.144 5.792 5.119
angles: 90.00 90.00 90.00
Sites, in units of the cell vectors:
Ta1 0.500 0.000 0.500
Ag1 0.000 0.500 0.500
Pb1 0.500 0.500 0.000
Pb2 0.000 0.000 0.000

Summary:
* space group: Pmmm, No. 47
* calculated total energy: -19.70 eV per formula unit
* DOS at the Fermi energy: 0.692 states/eV per atom
* energy relative to the lowest polymorph listed for this composition: 275 meV per atom

(2)
Here is an optimized crystal structure of KP2PbO6 from Alexandria. Energies are from PBE.

abc: 7.429 7.429 6.056
angles: 100.82 100.82 89.18
Last column: magnetic moment on the atom in μB.
Sites, in units of the cell vectors:
O1 0.359 0.950 0.696  0.02
Pb1 0.622 0.378 0.250  0.00
P1 0.854 0.707 0.747  0.08
K1 0.826 0.174 0.750  0.00
O2 0.641 0.050 0.304  0.02
O3 0.050 0.641 0.804  0.02
O4 0.950 0.359 0.196  0.02
K2 0.174 0.826 0.250  0.00
O5 0.548 0.708 0.169  0.02
O6 0.802 0.852 0.954  0.03
O7 0.198 0.148 0.046  0.03
O8 0.148 0.198 0.546  0.03
P2 0.146 0.293 0.253  0.08
O9 0.708 0.548 0.669  0.02
P3 0.293 0.146 0.753  0.08
P4 0.707 0.854 0.247  0.08
Pb2 0.378 0.622 0.750  0.00
O10 0.852 0.802 0.454  0.03
O11 0.292 0.452 0.331  0.02
O12 0.452 0.292 0.831  0.02

Summary:
* space group: C2/c, No. 15
* calculated total energy: -63.20 eV per formula unit
* E_form (uncorrected): -1.7824 eV/atom
* DOS at the Fermi energy: 0.129 states/eV per atom

(3)
Here is an optimized crystal structure of Tb8Dy2Hg from Alexandria. Energies are from PBE.

abc: 4.962 7.855 9.287
angles: 74.96 105.49 90.00
Sites, in units of the cell vectors:
Tb1 0.589 0.557 0.179
Tb2 0.045 0.278 0.091
Tb3 0.319 0.911 0.639
Dy1 0.776 0.635 0.553
Tb4 0.134 0.823 0.269
Tb5 0.955 0.722 0.909
Hg1 0.500 0.000 0.000
Tb6 0.681 0.089 0.361
Tb7 0.411 0.443 0.821
Tb8 0.866 0.177 0.731
Dy2 0.224 0.365 0.447

Summary:
* space group: C2/m, No. 12
* calculated total energy: -46.90 eV per formula unit
* DOS at the Fermi energy: 1.398 states/eV per atom
* energy relative to the lowest polymorph listed for this composition: 0 meV per atom

(4)
Here is an optimized crystal structure of PrSm4HoEr2 from Alexandria. Energies are from PBE.

abc: 9.537 9.537 11.848
angles: 128.40 128.40 88.30
Last column: magnetic moment on the atom in μB.
Sites, in units of the cell vectors:
Er1 0.500 0.000 0.000  0.02
Sm1 0.749 0.755 0.501  0.03
Pr1 0.000 0.500 0.500  0.02
Sm2 0.750 0.249 0.500  0.03
Sm3 0.251 0.245 0.499  0.03
Sm4 0.251 0.750 0.000  0.03
Ho1 0.500 0.500 0.500  0.05
Pr2 0.000 0.500 0.000  0.02
Sm5 0.250 0.751 0.500  0.03
Ho2 0.000 0.000 0.000  0.05
Sm6 0.255 0.249 0.001  0.03
Er2 0.000 0.000 0.500  0.05
Sm7 0.745 0.751 0.999  0.03
Er3 0.500 0.500 0.000  0.05
Er4 0.500 0.000 0.500  0.02
Sm8 0.749 0.250 0.000  0.03

Summary:
* space group: C2/c, No. 15
* calculated total energy: -34.10 eV per formula unit
* DOS at the Fermi energy: 2.441 states/eV per atom

(5)
Here is an optimized crystal structure of Al2BiMoSe from Alexandria. Energies are from PBE.

abc: 4.968 4.900 4.968
angles: 90.00 90.00 90.00
Last column: magnetic moment on the atom in μB.
Sites, in units of the cell vectors:
Al1 0.000 0.000 0.500  0.01
Bi1 0.500 0.500 0.500  0.00
Al2 0.500 0.000 0.000  -0.02
Se1 0.000 0.000 0.000  -0.02
Mo1 0.000 0.500 0.000  2.17

Summary:
* space group: P4/mmm, No. 123
* calculated total energy: -21.71 eV per formula unit
* E_form (uncorrected): 0.7943 eV/atom
* DOS at the Fermi energy: 0.779 states/eV per atom

(6)
Here is an optimized crystal structure of K3Y from Alexandria. Energies are from PBE.

abc: 3.785 6.737 8.457
angles: 90.00 90.00 90.00
Last column: magnetic moment on the atom in μB.
Sites, in units of the cell vectors:
K1 0.500 0.500 0.771  0.00
Y1 0.000 0.000 0.000  0.26
K2 0.000 0.000 0.500  0.00
K3 0.500 0.500 0.229  0.00

Summary:
* space group: Pmmm, No. 47
* calculated total energy: -8.03 eV per formula unit
* DOS at the Fermi energy: 1.028 states/eV per atom

(7)
Here is an optimized crystal structure of HfMn from Alexandria. Energies are from PBE.

abc: 7.295 7.295 4.445
angles: 90.00 90.00 120.00
Sites, in units of the cell vectors:
Mn1 0.437 0.875 0.250
Hf1 0.176 0.824 0.750
Mn2 0.563 0.437 0.750
Hf2 0.352 0.176 0.250
Hf3 0.176 0.352 0.750
Mn3 0.125 0.563 0.250
Mn4 0.875 0.437 0.750
Mn5 0.563 0.125 0.750
Hf4 0.648 0.824 0.750
Hf5 0.824 0.176 0.250
Mn6 0.437 0.563 0.250
Hf6 0.824 0.648 0.250

Summary:
* space group: P6_3/mmc, No. 194
* calculated total energy: -18.95 eV per formula unit
* DOS at the Fermi energy: 0.994 states/eV per atom

(8)
Here is an optimized crystal structure of SmBOs from Alexandria. Energies are from PBE.

abc: 5.010 5.743 5.738
angles: 59.92 72.91 72.93
Sites, in units of the cell vectors:
B1 0.300 0.947 0.121
Os1 0.958 0.283 0.989
Sm1 0.374 0.365 0.463
Os2 0.458 0.301 0.971
Sm2 0.875 0.776 0.050
B2 0.800 0.434 0.634

Summary:
* space group: P1, No. 1
* calculated total energy: -21.90 eV per formula unit
* DOS at the Fermi energy: 0.470 states/eV per atom
* energy relative to the lowest polymorph listed for this composition: 545 meV per atom

(9)
Here is an optimized crystal structure of BiPdSe2 from Alexandria. Energies are from PBE.

abc: 8.869 8.869 8.869
angles: 24.35 24.35 24.35
Sites, in units of the cell vectors:
Bi1 0.000 0.000 0.000
Pd1 0.500 0.500 0.500
Se1 0.114 0.114 0.114
Se2 0.886 0.886 0.886

Summary:
* space group: R-3m, No. 166
* calculated total energy: -16.76 eV per formula unit
* E_form (uncorrected): -0.1791 eV/atom
* DOS at the Fermi energy: 0.661 states/eV per atom

(10)
Here is an optimized crystal structure of Nd6Co2HgI3 from Alexandria. Energies are from PBE.

abc: 4.122 9.588 10.352
angles: 109.72 101.48 90.00
Sites, in units of the cell vectors:
I1 0.163 0.839 0.326
Nd1 0.685 0.561 0.370
Co1 0.173 0.350 0.345
Co2 0.827 0.650 0.655
I2 0.837 0.161 0.674
Nd2 0.964 0.739 0.929
Nd3 0.665 0.149 0.329
Nd4 0.036 0.261 0.071
Nd5 0.335 0.851 0.671
I3 0.500 0.500 0.000
Nd6 0.315 0.439 0.630
Hg1 0.500 0.000 0.000

Summary:
* space group: C2/m, No. 12
* calculated total energy: -55.05 eV per formula unit
* E_form (uncorrected): -0.6067 eV/atom
* DOS at the Fermi energy: 0.667 states/eV per atom

(11)
Here is an optimized crystal structure of Cs3KHg7 from Alexandria. Energies are from PBE.

abc: 4.984 12.524 15.682
angles: 90.00 90.00 101.48
Sites, in units of the cell vectors:
Cs1 0.244 0.488 0.750
Cs2 0.112 0.225 0.046
Hg1 0.577 0.154 0.250
Hg2 0.625 0.251 0.654
Cs3 0.112 0.225 0.454
Hg3 0.272 0.545 0.046
Cs4 0.756 0.512 0.250
Hg4 0.494 0.989 0.404
Hg5 0.423 0.846 0.750
K1 0.036 0.073 0.750
Hg6 0.506 0.011 0.904
Hg7 0.375 0.749 0.154
Hg8 0.728 0.455 0.546
Cs5 0.888 0.775 0.954
Hg9 0.625 0.251 0.846
Cs6 0.888 0.775 0.546
Hg10 0.272 0.545 0.454
Hg11 0.494 0.989 0.096
K2 0.964 0.927 0.250
Hg12 0.728 0.455 0.954
Hg13 0.506 0.011 0.596
Hg14 0.375 0.749 0.346

Summary:
* space group: Cmcm, No. 63
* calculated total energy: -8.50 eV per formula unit
* DOS at the Fermi energy: 0.644 states/eV per atom

(12)
Here is an optimized crystal structure of Pr3Zn2Ag3 from Alexandria. Energies are from PBE.

abc: 4.702 5.904 15.275
angles: 90.00 90.00 113.46
Sites, in units of the cell vectors:
Pr1 0.092 0.183 0.603
Ag1 0.665 0.330 0.750
Zn1 0.796 0.592 0.900
Pr2 0.908 0.817 0.397
Ag2 0.382 0.765 0.959
Pr3 0.375 0.750 0.750
Ag3 0.618 0.235 0.041
Pr4 0.625 0.250 0.250
Ag4 0.382 0.765 0.541
Zn2 0.204 0.408 0.100
Pr5 0.092 0.183 0.897
Zn3 0.796 0.592 0.600
Ag5 0.618 0.235 0.459
Zn4 0.204 0.408 0.400
Pr6 0.908 0.817 0.103
Ag6 0.335 0.670 0.250

Summary:
* space group: Cmcm, No. 63
* calculated total energy: -27.68 eV per formula unit
* DOS at the Fermi energy: 0.821 states/eV per atom
* energy relative to the lowest polymorph listed for this composition: 0 meV per atom

(13)
Here is an optimized crystal structure of Ti5In2Bi2 from Alexandria. Energies are from PBE.

abc: 7.453 7.588 8.882
angles: 115.28 114.81 90.00
Sites, in units of the cell vectors:
In1 0.721 0.883 0.500
Ti1 0.291 0.264 0.898
Bi1 0.893 0.363 0.743
Bi2 0.649 0.119 0.257
Ti2 0.107 0.764 0.898
In2 0.500 0.638 0.000
Ti3 0.907 0.560 0.500
Ti4 0.692 0.673 0.703
In3 0.000 0.138 0.000
Bi3 0.107 0.619 0.257
Ti5 0.893 0.866 0.102
Ti6 0.709 0.366 0.102
Ti7 0.511 0.173 0.703
Ti8 0.308 0.970 0.297
In4 0.279 0.383 0.500
Ti9 0.489 0.470 0.297
Ti10 0.093 0.060 0.500
Bi4 0.351 0.863 0.743

Summary:
* space group: Ima2, No. 46
* calculated total energy: -51.17 eV per formula unit
* DOS at the Fermi energy: 0.903 states/eV per atom

(14)
Here is an optimized crystal structure of TaTi2Sb from Alexandria. Energies are from PBE.

abc: 3.670 4.417 4.417
angles: 90.00 90.00 90.00
Sites, in units of the cell vectors:
Ta1 0.500 0.000 0.000
Ti1 0.000 0.500 0.000
Sb1 0.500 0.500 0.500
Ti2 0.000 0.000 0.500

Summary:
* space group: P4/mmm, No. 123
* calculated total energy: -32.90 eV per formula unit
* E_form (uncorrected): -0.2846 eV/atom
* DOS at the Fermi energy: 0.681 states/eV per atom

(15)
Here is an optimized crystal structure of VAgBrCl6 from Alexandria. Energies are from PBE.

abc: 6.654 7.449 7.023
angles: 115.30 102.77 59.19
Last column: magnetic moment on the atom in μB.
Sites, in units of the cell vectors:
V1 0.376 0.318 0.526  1.03
Br1 0.045 0.978 0.991  0.01
Cl1 0.033 0.320 0.243  -0.01
Ag1 0.646 0.707 0.450  -0.01
Cl2 0.595 0.399 0.786  -0.04
Cl3 0.014 0.642 0.724  -0.01
Cl4 0.372 0.528 0.361  -0.01
Cl5 0.285 0.114 0.627  -0.03
Cl6 0.634 0.994 0.294  -0.02

Summary:
* space group: P1, No. 1
* calculated total energy: -30.89 eV per formula unit
* E_form (uncorrected): -0.6850 eV/atom
* DOS at the Fermi energy: 0.563 states/eV per atom

(16)
Here is an optimized crystal structure of Ba2ZrCo from Alexandria. Energies are from PBE.

abc: 5.490 5.490 5.490
angles: 120.10 120.10 89.83
Last column: magnetic moment on the atom in μB.
Sites, in units of the cell vectors:
Co1 0.500 0.500 0.000  1.60
Ba1 0.750 0.250 0.500  -0.06
Zr1 0.250 0.750 0.500  -0.65
Ba2 0.000 0.000 0.000  -0.10

Summary:
* space group: I-4m2, No. 119
* calculated total energy: -15.83 eV per formula unit
* DOS at the Fermi energy: 1.883 states/eV per atom
* energy relative to the lowest polymorph listed for this composition: 663 meV per atom

(17)
Here is an optimized crystal structure of GdGaO2 from Alexandria. Energies are from PBE.

abc: 3.535 3.535 6.818
angles: 74.98 74.98 60.00
Last column: magnetic moment on the atom in μB.
Sites, in units of the cell vectors:
Gd1 0.500 0.500 0.500  6.91
O1 0.891 0.891 0.327  -0.01
O2 0.109 0.109 0.673  -0.01
Ga1 0.000 0.000 0.000  0.00

Summary:
* space group: R-3m, No. 166
* calculated total energy: -36.03 eV per formula unit
* E_form (uncorrected): -2.2518 eV/atom
* DOS at the Fermi energy: 0.227 states/eV per atom

(18)
Here is an optimized crystal structure of LiAlReRu from Alexandria. Energies are from PBE.

abc: 4.261 4.261 4.261
angles: 60.00 60.00 60.00
Sites, in units of the cell vectors:
Al1 0.250 0.250 0.250
Ru1 0.750 0.750 0.750
Re1 0.000 0.000 0.000
Li1 0.500 0.500 0.500

Summary:
* space group: F-43m, No. 216
* calculated total energy: -27.94 eV per formula unit
* DOS at the Fermi energy: 0.635 states/eV per atom

(19)
Here is an optimized crystal structure of Rb2MgTl2 from Alexandria. Energies are from PBE.

abc: 4.480 4.480 12.292
angles: 79.50 79.50 90.00
Sites, in units of the cell vectors:
Mg1 0.000 0.000 0.000
Tl1 0.250 0.750 0.500
Rb1 0.391 0.391 0.217
Tl2 0.750 0.250 0.500
Rb2 0.609 0.609 0.783

Summary:
* space group: I4/mmm, No. 139
* calculated total energy: -7.56 eV per formula unit
* DOS at the Fermi energy: 0.927 states/eV per atom
* energy relative to the lowest polymorph listed for this composition: 193 meV per atom

(20)
Here is an optimized crystal structure of CrCd2Re from Alexandria. Energies are from PBE.

abc: 2.800 2.800 9.624
angles: 90.00 90.00 113.58
Sites, in units of the cell vectors:
Cr1 0.000 0.000 0.526
Re1 0.500 0.500 0.716
Cd1 0.500 0.500 0.276
Cd2 0.000 0.000 0.983

Summary:
* space group: Cmm2, No. 35
* calculated total energy: -22.42 eV per formula unit
* DOS at the Fermi energy: 0.754 states/eV per atom
* energy relative to the lowest polymorph listed for this composition: 77 meV per atom